## K2AlCo2 (GGA-PBE)

Data for an optimized crystal structure of K2AlCo2.

Lattice parameters (Å, degrees): 6.249 6.249 5.678 90.00 90.00 90.00
Sites, in units of the cell vectors:
K: 0.183 0.683 0.500
K: 0.683 0.817 0.500
K: 0.817 0.317 0.500
K: 0.317 0.183 0.500
Co: 0.373 0.873 0.000
Co: 0.873 0.627 0.000
Co: 0.627 0.127 0.000
Co: 0.127 0.373 0.000
Al: 0.000 0.000 0.000
Al: 0.500 0.500 0.000

Calculated values
electronic total energy = -3.419 eV/atom
space group = P4/mbm (127)
DOS(E_F) = 6.8 states/eV/f.u.
magnetic moment = 0.330 μB/atom